VASP calculation (PBE-GGA) on a relaxed structure of K3TiSi2O8.

- total magnetic moment (μB/cell) = 1.06
- V (Å³/atom) = 14.34
- crystal system = trigonal
- symmetry = No. 164
- DFT total energy (eV/atom) = -6.8150

a = 5.5068 Å, b = 5.5068 Å, c = 7.6468 Å
α = 90.00°, β = 90.00°, γ = 120.00°
Last column: magnetic moment on the atom in μB.
Fractional positions:
K 0.3333 0.6667 0.7294  0.00
K 0.6667 0.3333 0.2706  0.00
K 0.0000 0.0000 0.0000  0.00
Ti 0.0000 0.0000 0.5000  -0.03
Si 0.3333 0.6667 0.2811  -0.01
Si 0.6667 0.3333 0.7189  -0.01
O 0.3333 0.6667 0.0689  0.27
O 0.6667 0.3333 0.9311  0.27
O 0.1700 0.8300 0.3522  0.07
O 0.8300 0.1700 0.6478  0.07
O 0.1700 0.3399 0.3522  0.07
O 0.8300 0.6601 0.6478  0.07
O 0.6601 0.8300 0.3522  0.07
O 0.3399 0.1700 0.6478  0.07